Here is a relaxed Tb6GaCo2 crystal from OQMD. Energies are from PBE.

Values from the calculation:
The volume is 24.4 Å³/atom. For the raw total energy, the calculation gives -5.280 eV/atom. For the magnetic moment, the calculation gives 0.008 μB/cell.

a = 8.2948 Å, b = 8.2948 Å, c = 8.2948 Å
α = 112.00°, β = 109.35°, γ = 107.10°
Atoms (fractional coordinates):
1 Tb 0.0409 0.2385 0.8024
2 Tb 0.1797 0.2802 0.4599
3 Tb 0.1797 0.7198 0.8995
4 Tb 0.3270 0.0152 0.6882
5 Tb 0.3270 0.6388 0.3118
6 Tb 0.4361 0.2385 0.1976
7 Tb 0.5639 0.7615 0.8024
8 Tb 0.6730 0.3612 0.6882
9 Tb 0.6730 0.9848 0.3118
10 Tb 0.8203 0.2802 0.1005
11 Tb 0.8203 0.7198 0.5401
12 Tb 0.9591 0.7615 0.1976
13 Ga 0.0000 0.0000 0.0000
14 Ga 0.5000 0.5000 0.0000
15 Co 0.1146 0.6146 0.5000
16 Co 0.3361 0.0000 0.3361
17 Co 0.6639 0.0000 0.6639
18 Co 0.8854 0.3854 0.5000